Record 1
Computed, not measured: an optimized crystal structure of ReH6CN3O4 at the PBEsol level of DFT.

abc: 4.9892 7.8735 8.3863
angles: 74.89 89.49 83.12
With the nearest neighbours (Å) after each atom.
Positions (direct):
Re: 0.9940 0.2557 0.6787  4 O 1.74-1.75
C: 0.5467 0.2456 0.1743  3 N 1.33-1.34
N: 0.7262 0.3615 0.1404  2 H 1.02-1.03
H: 0.3027 0.1021 0.0841  1 N 1.02
O: 0.8686 0.3425 0.4763  1 Re 1.75
H: 0.1778 0.6105 0.7638  1 N 1.02
C: 0.4533 0.7544 0.8257  3 N 1.33-1.34
H: 0.6847 0.8954 0.6529  1 N 1.02
O: 0.9121 0.0396 0.7535  1 Re 1.75, 1 H 1.93
N: 0.4438 0.1889 0.0537  2 H 1.02
H: 0.4721 0.7646 0.5795  1 N 1.02
H: 0.5279 0.2354 0.4205  1 N 1.02
H: 0.3153 0.1046 0.3471  1 N 1.02
H: 0.4908 0.2387 0.9331  1 N 1.02
N: 0.4656 0.1847 0.3286  2 H 1.02
O: 0.0879 0.9604 0.2465  1 Re 1.75, 1 H 1.93
N: 0.5562 0.8111 0.9463  2 H 1.02
H: 0.1970 0.6097 0.9764  1 N 1.03
H: 0.6973 0.8979 0.9159  1 N 1.02
H: 0.8222 0.3895 0.2362  1 N 1.02
H: 0.5092 0.7613 0.0669  1 N 1.02
O: 0.1314 0.6575 0.5237  1 Re 1.75
O: 0.8621 0.3848 0.8085  1 Re 1.75, 1 H 1.84
O: 0.3446 0.2459 0.6811  1 Re 1.74
Re: 0.0060 0.7443 0.3213  4 O 1.74-1.75
N: 0.5344 0.8153 0.6714  2 H 1.02
N: 0.2738 0.6385 0.8596  2 H 1.02-1.03
H: 0.8030 0.3903 0.0236  1 N 1.03
O: 0.6554 0.7541 0.3189  1 Re 1.74
O: 0.1379 0.6152 0.1915  1 Re 1.75, 1 H 1.84

Results
The calculated volume comes out at 10.5 Å³ per atom. As for the crystal system: triclinic. The value obtained for the uncorrected energy is -6.76 eV per atom. As for the total moment: 0.000 μB/atom. The symmetry is P-1 (2).

---

Record 2
Computed, not measured: an optimized crystal structure of SmH6C2SNO9 at the PBEsol level of DFT.

abc: 6.6164 8.7206 13.4172
angles: 90.00 94.16 90.00
With the nearest neighbours (Å) after each atom.
Positions (direct):
O: 0.9374 0.2633 0.4948  1 S 1.48
S: 0.2383 0.1648 0.9677  4 O 1.47-1.50
O: 0.6846 0.3142 0.3602  1 S 1.47
C: 0.6416 0.5413 0.2192  2 O 1.26-1.28
O: 0.3154 0.6858 0.6398  1 S 1.47
O: 0.1846 0.1858 0.8602  1 S 1.47
N: 0.2309 0.8556 0.1816  4 H 1.04-1.05
S: 0.7617 0.8352 0.0323  4 O 1.47-1.50
H: 0.2380 0.4372 0.3719  1 N 1.04
O: 0.5626 0.7633 0.0052  1 S 1.48
O: 0.5838 0.2638 0.5278  1 S 1.48
N: 0.2691 0.3556 0.3184  4 H 1.04-1.05
O: 0.9615 0.4503 0.1725  1 C 1.28
O: 0.5385 0.9503 0.3275  1 C 1.28
C: 0.3584 0.4587 0.7808  2 O 1.26-1.28
O: 0.4162 0.7362 0.4722  1 S 1.48
O: 0.9501 0.1284 0.2248  1 C 1.26
O: 0.2512 0.4971 0.5082  1 S 1.50
H: 0.6241 0.9657 0.5870  1 O 0.99
O: 0.7488 0.5029 0.4918  1 S 1.50
O: 0.4615 0.0497 0.6725  1 C 1.28
O: 0.0600 0.0452 0.6510  1 C 1.28
Sm: 0.2441 0.7520 0.9146  8 O 2.36-2.47
H: 0.2800 0.7497 0.1575  1 N 1.04
O: 0.7579 0.4145 0.9405  2 H 0.99-1.01
O: 0.0626 0.7367 0.5052  1 S 1.48
O: 0.9576 0.6110 0.3043  1 C 1.25
O: 0.4400 0.5452 0.8490  1 C 1.28
H: 0.8645 0.9730 0.5885  1 O 1.01
C: 0.6271 0.0354 0.2663  2 O 1.25-1.28
H: 0.1355 0.0270 0.4115  1 O 1.01
H: 0.9267 0.1518 0.8163  1 N 1.05
H: 0.6355 0.4730 0.9115  1 O 1.01
O: 0.8154 0.8142 0.1398  1 S 1.47
H: 0.0733 0.8482 0.1837  1 N 1.05
O: 0.4374 0.2367 0.9948  1 S 1.48
O: 0.2421 0.5855 0.0595  2 H 0.99-1.01
H: 0.6928 0.1161 0.7505  1 N 1.04
H: 0.1928 0.3839 0.2505  1 N 1.04
H: 0.8072 0.6161 0.7495  1 N 1.04
H: 0.1241 0.5343 0.0870  1 O 0.99
H: 0.4267 0.3482 0.3163  1 N 1.05
H: 0.7200 0.2503 0.8425  1 N 1.04
O: 0.2579 0.0855 0.4405  2 H 0.99-1.01
O: 0.0385 0.5497 0.8275  1 C 1.28
O: 0.7421 0.9145 0.5595  2 H 0.99-1.01
O: 0.5424 0.1110 0.1957  1 C 1.25
H: 0.8759 0.4657 0.9130  1 O 0.99
H: 0.2620 0.9372 0.1281  1 N 1.04
H: 0.7800 0.7503 0.6575  1 N 1.04
C: 0.1416 0.9587 0.7192  2 O 1.26-1.28
O: 0.2488 0.9971 0.9918  1 S 1.50
O: 0.0499 0.8716 0.7752  1 C 1.26
S: 0.2617 0.6648 0.5323  4 O 1.47-1.50
H: 0.3759 0.0343 0.4130  1 O 0.99
S: 0.7383 0.3352 0.4677  4 O 1.47-1.50
C: 0.1271 0.4646 0.7663  2 O 1.25-1.28
C: 0.3729 0.9646 0.7337  2 O 1.25-1.28
H: 0.5733 0.6518 0.6837  1 N 1.05
O: 0.7512 0.0029 0.0082  1 S 1.50
O: 0.5600 0.4548 0.1510  1 C 1.28
O: 0.4576 0.8890 0.8043  1 C 1.25
O: 0.9162 0.7638 0.9722  1 S 1.48
Sm: 0.2559 0.2520 0.5854  8 O 2.36-2.47
H: 0.7380 0.0628 0.8719  1 N 1.04
O: 0.0838 0.2362 0.0278  1 S 1.48
N: 0.7691 0.1444 0.8184  4 H 1.04-1.05
H: 0.3072 0.8839 0.2495  1 N 1.04
Sm: 0.7559 0.2480 0.0854  8 O 2.36-2.47
O: 0.9400 0.9548 0.3490  1 C 1.28
C: 0.8584 0.0413 0.2808  2 O 1.26-1.28
O: 0.0424 0.3890 0.6957  1 C 1.25
H: 0.3645 0.5270 0.0885  1 O 1.01
Sm: 0.7441 0.7480 0.4146  8 O 2.36-2.47
N: 0.7309 0.6444 0.6816  4 H 1.04-1.05
H: 0.7620 0.5628 0.6281  1 N 1.04
C: 0.8729 0.5354 0.2337  2 O 1.25-1.28
O: 0.4501 0.3716 0.7248  1 C 1.26
H: 0.2200 0.2497 0.3425  1 N 1.04
O: 0.5499 0.6284 0.2752  1 C 1.26

Results
The calculated volume comes out at 9.7 Å³ per atom. As for the crystal system: monoclinic. The value obtained for the uncorrected energy is -6.64 eV per atom. As for the total moment: 0.000 μB/atom. The symmetry is P2_1/c (14).

---

Look up the calculated volume of the second one.
9.7 Å³ per atom

---

Among the records above, which one has the lowest calculated volume?
SmH6C2SNO9

---

Which of these has the highest calculated volume?
ReH6CN3O4

---

Among the records above, which one has the highest calculated volume?
ReH6CN3O4